VASP calculation (GGA+U) on HfMn2CuO6 after structural relaxation.

```
HfMn2CuO6
1.0
5.158 0.000 0.000
2.450 4.667 0.000
0.335 2.643 4.766
Hf Mn Cu O
1 2 1 6
Direct
0.000 0.000 0.000
0.294 0.406 0.897
0.774 0.421 0.389
0.498 0.993 0.501
0.033 0.554 0.144
0.241 0.844 0.721
0.373 0.936 0.184
0.590 0.211 0.690
0.700 0.199 0.216
0.929 0.456 0.682
```

Summary:
- SG: P1
- Calculated total energy: -77.25 eV per cell